(i)
Density functional theory data (PBE-GGA) for BaTcTeI2 after structural relaxation.

```
data_BaTcTeI2
_cell_length_a 6.5753
_cell_length_b 6.5753
_cell_length_c 6.8390
_cell_angle_alpha 90.00
_cell_angle_beta 90.00
_cell_angle_gamma 90.00
_space_group_name_H-M_alt 'P 4/m m m'
_space_group_IT_number 123
_space_group_name_Hall '-P 4 2'
loop_
_atom_site_label
_atom_site_type_symbol
_atom_site_fract_x
_atom_site_fract_y
_atom_site_fract_z
Ba1 Ba 0.0000 0.0000 0.0000
Tc1 Tc 0.5000 0.5000 0.5000
Te1 Te 0.0000 0.0000 0.5000
I1 I 0.0000 0.5000 0.0000
```

Calculated values
- total magnetization (μB/f.u.) = 4.60


(ii)
Density functional theory data (PBE-GGA) for BaTcTeI2 after structural relaxation.

```
data_BaTcTeI2
_cell_length_a 5.5932
_cell_length_b 5.5932
_cell_length_c 5.5445
_cell_angle_alpha 90.00
_cell_angle_beta 90.00
_cell_angle_gamma 90.00
_space_group_name_H-M_alt 'P 4/m m m'
_space_group_IT_number 123
_space_group_name_Hall '-P 4 2'
loop_
_atom_site_label
_atom_site_type_symbol
_atom_site_fract_x
_atom_site_fract_y
_atom_site_fract_z
Ba1 Ba 0.0000 0.0000 0.0000
Tc1 Tc 0.5000 0.5000 0.5000
Te1 Te 0.5000 0.5000 0.0000
I1 I 0.0000 0.5000 0.5000
```

Calculated values
- total magnetization (μB/f.u.) = 2.84


Most stable = (ii)


(i)
Density functional theory data (PBE-GGA) for BaTeI after structural relaxation.

```
data_BaTeI
_cell_length_a 4.8652
_cell_length_b 4.8652
_cell_length_c 20.2190
_cell_angle_alpha 90.00
_cell_angle_beta 90.00
_cell_angle_gamma 90.00
_space_group_name_H-M_alt 'I 4/m m m'
_space_group_IT_number 139
_space_group_name_Hall '-I 4 2'
loop_
_atom_site_label
_atom_site_type_symbol
_atom_site_fract_x
_atom_site_fract_y
_atom_site_fract_z
Ba1 Ba 0.0000 0.0000 0.1271
Te1 Te 0.0000 0.5000 0.0000
I1 I 0.0000 0.0000 0.3127
```

Calculated values
- total magnetization (μB/f.u.) = 0.00


(ii)
Density functional theory data (PBE-GGA) for BaTeI after structural relaxation.

```
data_BaTeI
_cell_length_a 11.8195
_cell_length_b 5.4978
_cell_length_c 8.8331
_cell_angle_alpha 90.00
_cell_angle_beta 102.88
_cell_angle_gamma 90.00
_space_group_name_H-M_alt 'C 1 m 1'
_space_group_IT_number 8
loop_
_space_group_symop_operation_xyz
'x,y,z'
'x,-y,z'
'x+1/2,y+1/2,z'
'x+1/2,-y+1/2,z'
loop_
_atom_site_label
_atom_site_type_symbol
_atom_site_fract_x
_atom_site_fract_y
_atom_site_fract_z
Ba1 Ba 0.0000 0.0000 0.0000
Ba2 Ba 0.2322 0.0000 0.5552
Te1 Te 0.1980 0.5000 0.8588
Te2 Te 0.2772 0.0000 0.9473
I1 I 0.0981 0.5000 0.2964
I2 I 0.4402 0.5000 0.5850
```

Calculated values
- total magnetization (μB/f.u.) = 0.00


(iii)
Density functional theory data (PBE-GGA) for BaTeI after structural relaxation.

```
data_BaTeI
_cell_length_a 4.8632
_cell_length_b 4.8632
_cell_length_c 10.1220
_cell_angle_alpha 90.00
_cell_angle_beta 90.00
_cell_angle_gamma 90.00
_space_group_name_H-M_alt 'P 4/n m m'
_space_group_IT_number 129
loop_
_space_group_symop_operation_xyz
'x,y,z'
'-x,-y,-z'
'-y+1/2,x,z'
'y+1/2,-x,-z'
'-x+1/2,-y+1/2,z'
'x+1/2,y+1/2,-z'
'y,-x+1/2,z'
'-y,x+1/2,-z'
'x+1/2,-y,-z'
'-x+1/2,y,z'
'-y,-x,-z'
'y,x,z'
'-x,y+1/2,-z'
'x,-y+1/2,z'
'y+1/2,x+1/2,-z'
'-y+1/2,-x+1/2,z'
loop_
_atom_site_label
_atom_site_type_symbol
_atom_site_fract_x
_atom_site_fract_y
_atom_site_fract_z
Ba1 Ba 0.2500 0.2500 0.2451
Te1 Te 0.2500 0.7500 0.5000
I1 I 0.2500 0.2500 0.8735
```

Calculated values
- total magnetization (μB/f.u.) = 0.00


(iv)
Density functional theory data (PBE-GGA) for BaTeI after structural relaxation.

```
data_BaTeI
_cell_length_a 17.7543
_cell_length_b 4.9196
_cell_length_c 6.7604
_cell_angle_alpha 90.00
_cell_angle_beta 112.01
_cell_angle_gamma 90.00
_space_group_name_H-M_alt 'C 1 2/m 1'
_space_group_IT_number 12
loop_
_space_group_symop_operation_xyz
'x,y,z'
'-x,-y,-z'
'-x,y,-z'
'x,-y,z'
'x+1/2,y+1/2,z'
'-x+1/2,-y+1/2,-z'
'-x+1/2,y+1/2,-z'
'x+1/2,-y+1/2,z'
loop_
_atom_site_label
_atom_site_type_symbol
_atom_site_fract_x
_atom_site_fract_y
_atom_site_fract_z
Ba1 Ba 0.1368 0.0000 0.1388
Te1 Te 0.0016 0.5000 0.7939
I1 I 0.2092 0.0000 0.7097
```

Calculated values
- total magnetization (μB/f.u.) = 0.00


Most stable = (iv)


(i)
Density functional theory data (PBE-GGA) for BaTeI2 after structural relaxation.

```
data_BaTeI2
_cell_length_a 5.5830
_cell_length_b 5.5830
_cell_length_c 22.6337
_cell_angle_alpha 90.00
_cell_angle_beta 90.00
_cell_angle_gamma 90.00
_space_group_name_H-M_alt 'I -4 2 d'
_space_group_IT_number 122
_space_group_name_Hall 'I -4 2bw'
loop_
_atom_site_label
_atom_site_type_symbol
_atom_site_fract_x
_atom_site_fract_y
_atom_site_fract_z
Ba1 Ba 0.0000 0.0000 0.0000
Te1 Te 0.0000 0.0000 0.5000
I1 I 0.2351 0.2500 0.6250
```

Calculated values
- total magnetization (μB/f.u.) = 0.00


(ii)
Density functional theory data (PBE-GGA) for BaTeI2 after structural relaxation.

```
data_BaTeI2
_cell_length_a 8.6181
_cell_length_b 8.6181
_cell_length_c 8.6181
_cell_angle_alpha 90.00
_cell_angle_beta 90.00
_cell_angle_gamma 90.00
_space_group_name_H-M_alt 'F m -3 m'
_space_group_IT_number 225
_space_group_name_Hall '-F 4 2 3'
loop_
_atom_site_label
_atom_site_type_symbol
_atom_site_fract_x
_atom_site_fract_y
_atom_site_fract_z
Ba1 Ba 0.0000 0.0000 0.0000
Te1 Te 0.0000 0.0000 0.5000
I1 I 0.2500 0.2500 0.2500
```

Calculated values
- total magnetization (μB/f.u.) = 2.00


Most stable = (i)


(i)
Density functional theory data (PBE-GGA) for Ba3TeI3 after structural relaxation.

```
data_Ba3TeI3
_cell_length_a 17.3585
_cell_length_b 9.8210
_cell_length_c 10.0085
_cell_angle_alpha 90.00
_cell_angle_beta 125.19
_cell_angle_gamma 90.00
_space_group_name_H-M_alt 'C 1 2/m 1'
_space_group_IT_number 12
loop_
_space_group_symop_operation_xyz
'x,y,z'
'-x,-y,-z'
'-x,y,-z'
'x,-y,z'
'x+1/2,y+1/2,z'
'-x+1/2,-y+1/2,-z'
'-x+1/2,y+1/2,-z'
'x+1/2,-y+1/2,z'
loop_
_atom_site_label
_atom_site_type_symbol
_atom_site_fract_x
_atom_site_fract_y
_atom_site_fract_z
Ba1 Ba 0.0044 0.0000 0.2539
Ba2 Ba 0.2500 0.2501 0.2645
Te1 Te 0.2450 0.0000 0.4949
I1 I 0.0000 0.2515 0.5000
I2 I 0.0000 0.2523 0.0000
I3 I 0.2492 0.0000 0.9993
```

Calculated values
- total magnetization (μB/f.u.) = 0.00


(ii)
Density functional theory data (PBE-GGA) for Ba3TeI3 after structural relaxation.

```
data_Ba3TeI3
_cell_length_a 8.8416
_cell_length_b 8.8416
_cell_length_c 34.0798
_cell_angle_alpha 90.00
_cell_angle_beta 90.00
_cell_angle_gamma 120.00
_space_group_name_H-M_alt 'R -3'
_space_group_IT_number 148
_space_group_name_Hall '-R 3'
loop_
_atom_site_label
_atom_site_type_symbol
_atom_site_fract_x
_atom_site_fract_y
_atom_site_fract_z
Ba1 Ba 0.0000 0.3325 0.0584
Te1 Te 0.0000 0.0000 0.3333
I1 I 0.9996 0.3334 0.2217
```

Calculated values
- total magnetization (μB/f.u.) = 0.00


Most stable = (i)


(i)
Density functional theory data (PBE-GGA) for BaTe2I2 after structural relaxation.

```
data_BaTe2I2
_cell_length_a 8.9156
_cell_length_b 8.9156
_cell_length_c 4.7884
_cell_angle_alpha 90.00
_cell_angle_beta 90.00
_cell_angle_gamma 90.00
_space_group_name_H-M_alt 'P 4/m b m'
_space_group_IT_number 127
_space_group_name_Hall '-P 4 2ab'
loop_
_atom_site_label
_atom_site_type_symbol
_atom_site_fract_x
_atom_site_fract_y
_atom_site_fract_z
Ba1 Ba 0.0000 0.0000 0.0000
Te1 Te 0.1856 0.3144 0.5000
I1 I 0.1339 0.6339 0.0000
```

Calculated values
- total magnetization (μB/f.u.) = 0.00


(ii)
Density functional theory data (PBE-GGA) for BaTe2I2 after structural relaxation.

```
data_BaTe2I2
_cell_length_a 4.2802
_cell_length_b 4.2802
_cell_length_c 25.8651
_cell_angle_alpha 90.00
_cell_angle_beta 90.00
_cell_angle_gamma 90.00
_space_group_name_H-M_alt 'I 4/m m m'
_space_group_IT_number 139
_space_group_name_Hall '-I 4 2'
loop_
_atom_site_label
_atom_site_type_symbol
_atom_site_fract_x
_atom_site_fract_y
_atom_site_fract_z
Ba1 Ba 0.0000 0.0000 0.0000
Te1 Te 0.0000 0.5000 0.2500
I1 I 0.0000 0.0000 0.4237
```

Calculated values
- total magnetization (μB/f.u.) = 0.00


Most stable = (ii)


(i)
Density functional theory data (PBE-GGA) for BaTiTeI2 after structural relaxation.

```
data_BaTiTeI2
_cell_length_a 5.6884
_cell_length_b 5.6884
_cell_length_c 5.5997
_cell_angle_alpha 90.00
_cell_angle_beta 90.00
_cell_angle_gamma 90.00
_space_group_name_H-M_alt 'P 4/m m m'
_space_group_IT_number 123
_space_group_name_Hall '-P 4 2'
loop_
_atom_site_label
_atom_site_type_symbol
_atom_site_fract_x
_atom_site_fract_y
_atom_site_fract_z
Ba1 Ba 0.0000 0.0000 0.0000
Ti1 Ti 0.5000 0.5000 0.5000
Te1 Te 0.5000 0.5000 0.0000
I1 I 0.0000 0.5000 0.5000
```

Calculated values
- total magnetization (μB/f.u.) = 2.00


(ii)
Density functional theory data (PBE-GGA) for BaTiTeI2 after structural relaxation.

```
data_BaTiTeI2
_cell_length_a 6.4629
_cell_length_b 6.4629
_cell_length_c 6.6799
_cell_angle_alpha 90.00
_cell_angle_beta 90.00
_cell_angle_gamma 90.00
_space_group_name_H-M_alt 'P 4/m m m'
_space_group_IT_number 123
_space_group_name_Hall '-P 4 2'
loop_
_atom_site_label
_atom_site_type_symbol
_atom_site_fract_x
_atom_site_fract_y
_atom_site_fract_z
Ba1 Ba 0.0000 0.0000 0.0000
Ti1 Ti 0.5000 0.5000 0.5000
Te1 Te 0.0000 0.0000 0.5000
I1 I 0.0000 0.5000 0.0000
```

Calculated values
- total magnetization (μB/f.u.) = 0.04


Most stable = (i)


(i)
Density functional theory data (PBE-GGA) for BaTlTe2I after structural relaxation.

```
data_BaTlTe2I
_cell_length_a 5.7953
_cell_length_b 5.7953
_cell_length_c 6.2789
_cell_angle_alpha 90.00
_cell_angle_beta 90.00
_cell_angle_gamma 90.00
_space_group_name_H-M_alt 'P 4/m m m'
_space_group_IT_number 123
_space_group_name_Hall '-P 4 2'
loop_
_atom_site_label
_atom_site_type_symbol
_atom_site_fract_x
_atom_site_fract_y
_atom_site_fract_z
Ba1 Ba 0.0000 0.0000 0.0000
Tl1 Tl 0.5000 0.5000 0.5000
Te1 Te 0.0000 0.5000 0.5000
I1 I 0.5000 0.5000 0.0000
```

Calculated values
- total magnetization (μB/f.u.) = 0.00


(ii)
Density functional theory data (PBE-GGA) for BaTlTe2I after structural relaxation.

```
data_BaTlTe2I
_cell_length_a 6.6445
_cell_length_b 6.6445
_cell_length_c 6.7018
_cell_angle_alpha 90.00
_cell_angle_beta 90.00
_cell_angle_gamma 90.00
_space_group_name_H-M_alt 'P 4/m m m'
_space_group_IT_number 123
_space_group_name_Hall '-P 4 2'
loop_
_atom_site_label
_atom_site_type_symbol
_atom_site_fract_x
_atom_site_fract_y
_atom_site_fract_z
Ba1 Ba 0.0000 0.0000 0.0000
Tl1 Tl 0.5000 0.5000 0.5000
Te1 Te 0.0000 0.5000 0.0000
I1 I 0.0000 0.0000 0.5000
```

Calculated values
- total magnetization (μB/f.u.) = 1.84


Most stable = (i)


(i)
Density functional theory data (PBE-GGA) for BaYTeI2 after structural relaxation.

```
data_BaYTeI2
_cell_length_a 6.3657
_cell_length_b 6.3657
_cell_length_c 6.7413
_cell_angle_alpha 90.00
_cell_angle_beta 90.00
_cell_angle_gamma 90.00
_space_group_name_H-M_alt 'P 4/m m m'
_space_group_IT_number 123
_space_group_name_Hall '-P 4 2'
loop_
_atom_site_label
_atom_site_type_symbol
_atom_site_fract_x
_atom_site_fract_y
_atom_site_fract_z
Ba1 Ba 0.0000 0.0000 0.0000
Y1 Y 0.5000 0.5000 0.5000
Te1 Te 0.0000 0.0000 0.5000
I1 I 0.0000 0.5000 0.0000
```

Calculated values
- total magnetization (μB/f.u.) = 0.97


(ii)
Density functional theory data (PBE-GGA) for BaYTeI2 after structural relaxation.

```
data_BaYTeI2
_cell_length_a 5.9213
_cell_length_b 5.9213
_cell_length_c 5.9794
_cell_angle_alpha 90.00
_cell_angle_beta 90.00
_cell_angle_gamma 90.00
_space_group_name_H-M_alt 'P 4/m m m'
_space_group_IT_number 123
_space_group_name_Hall '-P 4 2'
loop_
_atom_site_label
_atom_site_type_symbol
_atom_site_fract_x
_atom_site_fract_y
_atom_site_fract_z
Ba1 Ba 0.0000 0.0000 0.0000
Y1 Y 0.5000 0.5000 0.5000
Te1 Te 0.5000 0.5000 0.0000
I1 I 0.0000 0.5000 0.5000
```

Calculated values
- total magnetization (μB/f.u.) = 0.00


Most stable = (ii)


(i)
Density functional theory data (PBE-GGA) for BaZnTeI2 after structural relaxation.

```
data_BaZnTeI2
_cell_length_a 6.7294
_cell_length_b 6.7294
_cell_length_c 7.1863
_cell_angle_alpha 90.00
_cell_angle_beta 90.00
_cell_angle_gamma 90.00
_space_group_name_H-M_alt 'P 4/m m m'
_space_group_IT_number 123
_space_group_name_Hall '-P 4 2'
loop_
_atom_site_label
_atom_site_type_symbol
_atom_site_fract_x
_atom_site_fract_y
_atom_site_fract_z
Ba1 Ba 0.0000 0.0000 0.0000
Zn1 Zn 0.5000 0.5000 0.5000
Te1 Te 0.0000 0.0000 0.5000
I1 I 0.0000 0.5000 0.0000
```

Calculated values
- total magnetization (μB/f.u.) = 2.02


(ii)
Density functional theory data (PBE-GGA) for BaZnTeI2 after structural relaxation.

```
data_BaZnTeI2
_cell_length_a 5.6891
_cell_length_b 5.6891
_cell_length_c 5.5738
_cell_angle_alpha 90.00
_cell_angle_beta 90.00
_cell_angle_gamma 90.00
_space_group_name_H-M_alt 'P 4/m m m'
_space_group_IT_number 123
_space_group_name_Hall '-P 4 2'
loop_
_atom_site_label
_atom_site_type_symbol
_atom_site_fract_x
_atom_site_fract_y
_atom_site_fract_z
Ba1 Ba 0.0000 0.0000 0.0000
Zn1 Zn 0.5000 0.5000 0.5000
Te1 Te 0.5000 0.5000 0.0000
I1 I 0.0000 0.5000 0.5000
```

Calculated values
- total magnetization (μB/f.u.) = 0.00


Most stable = (ii)


(i)
Density functional theory data (PBE-GGA) for BaZrTe2I after structural relaxation.

```
data_BaZrTe2I
_cell_length_a 6.4075
_cell_length_b 6.4075
_cell_length_c 6.3246
_cell_angle_alpha 90.00
_cell_angle_beta 90.00
_cell_angle_gamma 90.00
_space_group_name_H-M_alt 'P 4/m m m'
_space_group_IT_number 123
_space_group_name_Hall '-P 4 2'
loop_
_atom_site_label
_atom_site_type_symbol
_atom_site_fract_x
_atom_site_fract_y
_atom_site_fract_z
Ba1 Ba 0.0000 0.0000 0.0000
Zr1 Zr 0.5000 0.5000 0.5000
Te1 Te 0.0000 0.5000 0.0000
I1 I 0.0000 0.0000 0.5000
```

Calculated values
- total magnetization (μB/f.u.) = 1.33


(ii)
Density functional theory data (PBE-GGA) for BaZrTe2I after structural relaxation.

```
data_BaZrTe2I
_cell_length_a 5.7189
_cell_length_b 5.7189
_cell_length_c 5.7052
_cell_angle_alpha 90.00
_cell_angle_beta 90.00
_cell_angle_gamma 90.00
_space_group_name_H-M_alt 'P 4/m m m'
_space_group_IT_number 123
_space_group_name_Hall '-P 4 2'
loop_
_atom_site_label
_atom_site_type_symbol
_atom_site_fract_x
_atom_site_fract_y
_atom_site_fract_z
Ba1 Ba 0.0000 0.0000 0.0000
Zr1 Zr 0.5000 0.5000 0.5000
Te1 Te 0.0000 0.5000 0.5000
I1 I 0.5000 0.5000 0.0000
```

Calculated values
- total magnetization (μB/f.u.) = 0.00


Most stable = (ii)


(i)
Density functional theory data (PBE-GGA) for BaTiI3 after structural relaxation.

```
data_BaTiI3
_cell_length_a 5.7228
_cell_length_b 5.7228
_cell_length_c 5.7228
_cell_angle_alpha 90.00
_cell_angle_beta 90.00
_cell_angle_gamma 90.00
_space_group_name_H-M_alt 'P m -3 m'
_space_group_IT_number 221
_space_group_name_Hall '-P 4 2 3'
loop_
_atom_site_label
_atom_site_type_symbol
_atom_site_fract_x
_atom_site_fract_y
_atom_site_fract_z
Ba1 Ba 0.0000 0.0000 0.0000
Ti1 Ti 0.5000 0.5000 0.5000
I1 I 0.0000 0.5000 0.5000
```

Calculated values
- total magnetization (μB/f.u.) = 2.97


(ii)
Density functional theory data (PBE-GGA) for BaTiI3 after structural relaxation.

```
data_BaTiI3
_cell_length_a 6.6871
_cell_length_b 6.6871
_cell_length_c 6.6871
_cell_angle_alpha 90.00
_cell_angle_beta 90.00
_cell_angle_gamma 90.00
_space_group_name_H-M_alt 'P m -3 m'
_space_group_IT_number 221
_space_group_name_Hall '-P 4 2 3'
loop_
_atom_site_label
_atom_site_type_symbol
_atom_site_fract_x
_atom_site_fract_y
_atom_site_fract_z
Ba1 Ba 0.0000 0.0000 0.0000
Ti1 Ti 0.5000 0.5000 0.5000
I1 I 0.0000 0.0000 0.5000
```

Calculated values
- total magnetization (μB/f.u.) = 3.00


Most stable = (i)